# 1
Computed, not measured: a geometry-optimized SbMoOs2 structure at the PBE level of DFT.

The structure in CIF format:
```
data_SbMoOs2
_cell_length_a 2.902
_cell_length_b 4.025
_cell_length_c 5.681
_cell_angle_alpha 90.00
_cell_angle_beta 90.00
_cell_angle_gamma 90.00
_symmetry_space_group_name_H-M 'P 1'
_symmetry_Int_Tables_number 1
loop_
_symmetry_equiv_pos_as_xyz
'x,y,z'
loop_
_atom_site_label
_atom_site_type_symbol
_atom_site_fract_x
_atom_site_fract_y
_atom_site_fract_z
Mo1 Mo 0.500 0.500 0.759
Os1 Os 0.000 0.000 0.030
Os2 Os 0.500 0.500 0.207
Sb1 Sb 0.000 0.000 0.505
```

Output
ΔE_f (raw): 1.94 eV per formula unit

---

# 2
Computed, not measured: a geometry-optimized SmScO2 structure at the PBE level of DFT.

The structure in CIF format:
```
data_SmScO2
_cell_length_a 3.281
_cell_length_b 3.281
_cell_length_c 6.114
_cell_angle_alpha 74.43
_cell_angle_beta 74.43
_cell_angle_gamma 60.00
_symmetry_space_group_name_H-M 'P 1'
_symmetry_Int_Tables_number 1
loop_
_symmetry_equiv_pos_as_xyz
'x,y,z'
loop_
_atom_site_label
_atom_site_type_symbol
_atom_site_fract_x
_atom_site_fract_y
_atom_site_fract_z
Sm1 Sm 0.496 0.496 0.513
Sc1 Sc 0.672 0.672 0.983
O1 O 0.066 0.066 0.801
O2 O 0.266 0.266 0.203
```

Output
ΔE_f (raw): -10.98 eV per formula unit

---

# 3
Computed, not measured: a geometry-optimized TaWSe3 structure at the PBE level of DFT.

The structure in CIF format:
```
data_TaWSe3
_cell_length_a 4.900
_cell_length_b 4.900
_cell_length_c 4.900
_cell_angle_alpha 90.00
_cell_angle_beta 90.00
_cell_angle_gamma 90.00
_symmetry_space_group_name_H-M 'P 1'
_symmetry_Int_Tables_number 1
loop_
_symmetry_equiv_pos_as_xyz
'x,y,z'
loop_
_atom_site_label
_atom_site_type_symbol
_atom_site_fract_x
_atom_site_fract_y
_atom_site_fract_z
Se1 Se 0.000 0.500 0.000
Se2 Se 0.000 0.000 0.500
Se3 Se 0.500 0.000 0.000
W1 W 0.000 0.000 0.000
Ta1 Ta 0.500 0.500 0.500
```

Output
ΔE to the lowest computed polymorph: 1.349 eV/atom
ΔE_f (raw): 4.97 eV per formula unit

---

# 4
Computed, not measured: a geometry-optimized FeBPAuC2 structure at the PBE level of DFT.

The structure in CIF format:
```
data_FeBPAuC2
_cell_length_a 4.531
_cell_length_b 2.695
_cell_length_c 13.148
_cell_angle_alpha 90.00
_cell_angle_beta 99.90
_cell_angle_gamma 90.00
_symmetry_space_group_name_H-M 'P 1'
_symmetry_Int_Tables_number 1
loop_
_symmetry_equiv_pos_as_xyz
'x,y,z'
loop_
_atom_site_label
_atom_site_type_symbol
_atom_site_fract_x
_atom_site_fract_y
_atom_site_fract_z
P1 P 0.620 0.000 0.640
P2 P 0.620 0.500 0.140
C1 C 0.266 0.000 0.958
C2 C 0.266 0.500 0.458
C3 C 0.890 0.000 0.557
C4 C 0.890 0.500 0.057
B1 B 0.998 0.000 0.019
B2 B 0.998 0.500 0.519
Au1 Au 0.901 0.000 0.819
Au2 Au 0.901 0.500 0.319
Fe1 Fe 0.535 0.000 0.442
Fe2 Fe 0.535 0.500 0.942
```

Output
ΔH_f (0 K): 43 kJ/mol of atoms
ΔE to the lowest computed polymorph: 0.134 eV/atom

---

# 5
Computed, not measured: a geometry-optimized Ca4InN structure at the PBE level of DFT.

The structure in CIF format:
```
data_Ca4InN
_cell_length_a 6.190
_cell_length_b 7.014
_cell_length_c 10.204
_cell_angle_alpha 110.10
_cell_angle_beta 119.35
_cell_angle_gamma 90.00
_symmetry_space_group_name_H-M 'P 1'
_symmetry_Int_Tables_number 1
loop_
_symmetry_equiv_pos_as_xyz
'x,y,z'
loop_
_atom_site_label
_atom_site_type_symbol
_atom_site_fract_x
_atom_site_fract_y
_atom_site_fract_z
Ca1 Ca 0.273 0.689 0.379
Ca2 Ca 0.368 0.132 0.738
Ca3 Ca 0.000 0.273 0.000
Ca4 Ca 0.632 0.394 0.262
Ca5 Ca 0.727 0.311 0.621
Ca6 Ca 0.632 0.868 0.262
Ca7 Ca 0.000 0.727 0.000
Ca8 Ca 0.368 0.606 0.738
In1 In 0.865 0.834 0.667
In2 In 0.135 0.166 0.333
N1 N 0.326 0.580 0.160
N2 N 0.674 0.420 0.840
```

Output
ΔE to the lowest computed polymorph: 0.089 eV/atom
ΔE_f (raw): -2.89 eV per formula unit

---

# 6
Computed, not measured: a geometry-optimized CrSnAsSe2 structure at the PBE level of DFT.

The structure in CIF format:
```
data_CrSnAsSe2
_cell_length_a 4.976
_cell_length_b 4.976
_cell_length_c 4.697
_cell_angle_alpha 90.00
_cell_angle_beta 90.00
_cell_angle_gamma 90.00
_symmetry_space_group_name_H-M 'P 1'
_symmetry_Int_Tables_number 1
loop_
_symmetry_equiv_pos_as_xyz
'x,y,z'
loop_
_atom_site_label
_atom_site_type_symbol
_atom_site_fract_x
_atom_site_fract_y
_atom_site_fract_z
Cr1 Cr 0.000 0.000 0.000
As1 As 0.000 0.000 0.500
Sn1 Sn 0.500 0.500 0.500
Se1 Se 0.000 0.500 0.000
Se2 Se 0.500 0.000 0.000
```

Output
ΔE to the lowest computed polymorph: 0.000 eV/atom
ΔE_f (raw): 0.54 eV per formula unit

---

# 7
Computed, not measured: a geometry-optimized Rb3Ga2I6 structure at the PBE level of DFT.

The structure in CIF format:
```
data_Rb3Ga2I6
_cell_length_a 5.999
_cell_length_b 5.999
_cell_length_c 15.009
_cell_angle_alpha 101.53
_cell_angle_beta 101.53
_cell_angle_gamma 90.00
_symmetry_space_group_name_H-M 'P 1'
_symmetry_Int_Tables_number 1
loop_
_symmetry_equiv_pos_as_xyz
'x,y,z'
loop_
_atom_site_label
_atom_site_type_symbol
_atom_site_fract_x
_atom_site_fract_y
_atom_site_fract_z
Rb1 Rb 0.000 0.000 0.000
Rb2 Rb 0.827 0.827 0.654
Rb3 Rb 0.173 0.173 0.346
Ga1 Ga 0.401 0.401 0.803
Ga2 Ga 0.599 0.599 0.197
I1 I 0.084 0.584 0.169
I2 I 0.584 0.084 0.169
I3 I 0.916 0.416 0.831
I4 I 0.416 0.916 0.831
I5 I 0.698 0.698 0.396
I6 I 0.302 0.302 0.604
```

Output
ΔE_f (raw): -10.65 eV per formula unit

---

# 8
Computed, not measured: a geometry-optimized Zn2FeCl structure at the PBE level of DFT.

The structure in CIF format:
```
data_Zn2FeCl
_cell_length_a 8.230
_cell_length_b 8.230
_cell_length_c 8.230
_cell_angle_alpha 21.75
_cell_angle_beta 21.75
_cell_angle_gamma 21.75
_symmetry_space_group_name_H-M 'P 1'
_symmetry_Int_Tables_number 1
loop_
_symmetry_equiv_pos_as_xyz
'x,y,z'
loop_
_atom_site_label
_atom_site_type_symbol
_atom_site_fract_x
_atom_site_fract_y
_atom_site_fract_z
Zn1 Zn 0.006 0.006 0.006
Zn2 Zn 0.259 0.259 0.259
Fe1 Fe 0.751 0.751 0.751
Cl1 Cl 0.484 0.484 0.484
```

Output
ΔE to the lowest computed polymorph: 0.050 eV/atom
ΔE_f (raw): 0.15 eV per formula unit

---

# 9
Computed, not measured: a geometry-optimized Li2AsPd3 structure at the PBE level of DFT.

The structure in CIF format:
```
data_Li2AsPd3
_cell_length_a 4.947
_cell_length_b 4.947
_cell_length_c 4.947
_cell_angle_alpha 67.60
_cell_angle_beta 67.60
_cell_angle_gamma 67.60
_symmetry_space_group_name_H-M 'P 1'
_symmetry_Int_Tables_number 1
loop_
_symmetry_equiv_pos_as_xyz
'x,y,z'
loop_
_atom_site_label
_atom_site_type_symbol
_atom_site_fract_x
_atom_site_fract_y
_atom_site_fract_z
Li1 Li 0.375 0.375 0.375
Li2 Li 0.625 0.625 0.625
As1 As 0.000 0.000 0.000
Pd1 Pd 0.000 0.000 0.500
Pd2 Pd 0.500 0.000 0.000
Pd3 Pd 0.000 0.500 0.000
```

Output
ΔH_f (0 K): -50 kJ/mol of atoms
ΔE to the lowest computed polymorph: 0.000 eV/atom

---

# 10
Computed, not measured: a geometry-optimized Nd3Mg5 structure at the PBE level of DFT.

The structure in CIF format:
```
data_Nd3Mg5
_cell_length_a 5.282
_cell_length_b 6.678
_cell_length_c 6.678
_cell_angle_alpha 107.82
_cell_angle_beta 90.00
_cell_angle_gamma 90.00
_symmetry_space_group_name_H-M 'P 1'
_symmetry_Int_Tables_number 1
loop_
_symmetry_equiv_pos_as_xyz
'x,y,z'
loop_
_atom_site_label
_atom_site_type_symbol
_atom_site_fract_x
_atom_site_fract_y
_atom_site_fract_z
Nd1 Nd 0.000 0.500 0.500
Nd2 Nd 0.500 0.765 0.235
Nd3 Nd 0.500 0.235 0.765
Mg1 Mg 0.000 0.000 0.000
Mg2 Mg 0.000 0.000 0.500
Mg3 Mg 0.000 0.500 0.000
Mg4 Mg 0.500 0.248 0.248
Mg5 Mg 0.500 0.752 0.752
```

Output
ΔH_f (0 K): -8 kJ/mol of atoms
ΔE to the lowest computed polymorph: 0.000 eV/atom

---

# 11
Computed, not measured: a geometry-optimized FeRu2Pb4 structure at the PBE level of DFT.

The structure in CIF format:
```
data_FeRu2Pb4
_cell_length_a 5.152
_cell_length_b 5.152
_cell_length_c 7.522
_cell_angle_alpha 69.97
_cell_angle_beta 69.97
_cell_angle_gamma 90.00
_symmetry_space_group_name_H-M 'P 1'
_symmetry_Int_Tables_number 1
loop_
_symmetry_equiv_pos_as_xyz
'x,y,z'
loop_
_atom_site_label
_atom_site_type_symbol
_atom_site_fract_x
_atom_site_fract_y
_atom_site_fract_z
Pb1 Pb 0.798 0.798 0.404
Pb2 Pb 0.202 0.202 0.596
Pb3 Pb 0.000 0.500 0.000
Pb4 Pb 0.500 0.000 0.000
Ru1 Ru 0.597 0.597 0.807
Ru2 Ru 0.403 0.403 0.193
Fe1 Fe 0.000 0.000 0.000
```

Output
ΔH_f (0 K): 73 kJ/mol of atoms

---

# 12
Computed, not measured: a geometry-optimized NbPbC2Cl structure at the PBE level of DFT.

The structure in CIF format:
```
data_NbPbC2Cl
_cell_length_a 4.259
_cell_length_b 5.069
_cell_length_c 4.259
_cell_angle_alpha 90.00
_cell_angle_beta 90.00
_cell_angle_gamma 90.00
_symmetry_space_group_name_H-M 'P 1'
_symmetry_Int_Tables_number 1
loop_
_symmetry_equiv_pos_as_xyz
'x,y,z'
loop_
_atom_site_label
_atom_site_type_symbol
_atom_site_fract_x
_atom_site_fract_y
_atom_site_fract_z
Pb1 Pb 0.500 0.500 0.500
Nb1 Nb 0.000 0.000 0.000
C1 C 0.000 0.000 0.500
C2 C 0.500 0.000 0.000
Cl1 Cl 0.000 0.500 0.000
```

Output
ΔE_f (raw): 4.69 eV per formula unit

---

# 13
Computed, not measured: a geometry-optimized CeLu2Cl structure at the PBE level of DFT.

The structure in CIF format:
```
data_CeLu2Cl
_cell_length_a 3.505
_cell_length_b 3.505
_cell_length_c 9.983
_cell_angle_alpha 79.89
_cell_angle_beta 79.89
_cell_angle_gamma 60.00
_symmetry_space_group_name_H-M 'P 1'
_symmetry_Int_Tables_number 1
loop_
_symmetry_equiv_pos_as_xyz
'x,y,z'
loop_
_atom_site_label
_atom_site_type_symbol
_atom_site_fract_x
_atom_site_fract_y
_atom_site_fract_z
Lu1 Lu 0.741 0.741 0.777
Lu2 Lu 0.259 0.259 0.223
Ce1 Ce 0.500 0.500 0.500
Cl1 Cl 0.000 0.000 0.000
```

Output
ΔE_f (raw): -2.42 eV per formula unit